Record 1
A plane-wave DFT calculation with PBE was carried out for a relaxed structure of Zn2BIr3.

The structure belongs to space group P4_132 (No. 213); the cell edges are 6.8136, 6.8136 and 6.8136 Å and the angles 90.00°, 90.00° and 90.00°. Symmetry generates all atoms from Zn at (0.0644, 0.0644, 0.0644), B at (0.1250, 0.6250, 0.8750) and Ir at (0.0460, 0.8750, 0.7040).

For the mass density, the calculation gives 15.1 Mg/m³. The volume is 316.32 Å³/cell.

---

Record 2
A plane-wave DFT calculation with PBE was carried out for a relaxed structure of ZnBIr.

The structure belongs to space group P2_1/m (No. 11); the cell edges are 4.2424, 2.9174 and 5.9775 Å and the angles 90.00°, 99.33° and 90.00°. Symmetry generates all atoms from Zn at (0.2384, 0.2500, 0.4427), B at (0.1442, 0.2500, 0.0478) and Ir at (0.3222, 0.7500, 0.8301).

For the mass density, the calculation gives 12.2 Mg/m³. The volume is 73.00 Å³/cell.

---

Record 3
A plane-wave DFT calculation with PBE was carried out for a relaxed structure of ZnBIr.

The structure belongs to space group Pnma (No. 62); the cell edges are 8.4721, 2.9296 and 5.8477 Å and the angles 90.00°, 90.00° and 90.00°. Symmetry generates all atoms from Zn at (0.1225, 0.2500, 0.0209), B at (0.1745, 0.2500, 0.3946) and Ir at (0.0937, 0.7500, 0.6480).

For the mass density, the calculation gives 12.3 Mg/m³. The volume is 145.14 Å³/cell.

---

Record 4
A plane-wave DFT calculation with PBE was carried out for a relaxed structure of ZnB2Ir2.

The structure belongs to space group I4/mmm (No. 139); the cell edges are 2.9907, 2.9907 and 12.7379 Å and the angles 90.00°, 90.00° and 90.00°. Symmetry generates all atoms from Zn at (0.0000, 0.0000, 0.0000), B at (0.0000, 0.5000, 0.2500) and Ir at (0.0000, 0.0000, 0.3721).

For the mass density, the calculation gives 13.7 Mg/m³. The volume is 113.93 Å³/cell.

---

Record 5
A plane-wave DFT calculation with PBE was carried out for a relaxed structure of Zn5B3Ir7.

The structure belongs to space group Pmma (No. 51); the cell edges are 11.1037, 2.8651 and 12.2611 Å and the angles 90.00°, 90.00° and 90.00°. Symmetry generates all atoms from Zn at (0.0484, 0.0000, 0.1493), Zn at (0.1077, 0.0000, 0.3510), Zn at (0.2500, 0.0000, 0.0651), B at (0.1263, 0.0000, 0.5870), B at (0.2500, 0.0000, 0.8526), Ir at (0.0000, 0.5000, 0.5000), Ir at (0.1135, 0.5000, 0.7141), Ir at (0.1219, 0.5000, 0.9350), Ir at (0.2500, 0.5000, 0.2352) and Ir at (0.2500, 0.5000, 0.5087).

For the mass density, the calculation gives 14.5 Mg/m³. For the distance to the lowest polymorph of the same formula, the calculation gives 2.32 eV/f.u. The volume is 390.07 Å³/cell.

---

Record 6
A plane-wave DFT calculation with PBE was carried out for a relaxed structure of ZnB5Ir6.

The structure belongs to space group P-1 (No. 2); the cell edges are 2.8210, 6.7702 and 7.9916 Å and the angles 106.80°, 90.02° and 101.94°. Symmetry generates all atoms from Zn at (0.0000, 0.0000, 0.0000), B at (0.0000, 0.0000, 0.5000), B at (0.3370, 0.6744, 0.6931), B at (0.3615, 0.7224, 0.0723), Ir at (0.1643, 0.3278, 0.5204), Ir at (0.2129, 0.4282, 0.1346) and Ir at (0.4956, 0.9908, 0.2888).

For the mass density, the calculation gives 14.8 Mg/m³. The volume is 142.65 Å³/cell.

---

Record 7
A plane-wave DFT calculation with PBE was carried out for a relaxed structure of Zn5B3Ir7.

The structure belongs to space group Pmma (No. 51); the cell edges are 11.2583, 2.8746 and 11.8877 Å and the angles 90.00°, 90.00° and 90.00°. Symmetry generates all atoms from Zn at (0.0482, 0.0000, 0.1349), Zn at (0.1312, 0.0000, 0.3449), Zn at (0.2500, 0.0000, 0.8111), B at (0.1178, 0.0000, 0.5935), B at (0.2500, 0.0000, 0.0353), Ir at (0.0000, 0.5000, 0.5000), Ir at (0.0800, 0.5000, 0.7210), Ir at (0.1249, 0.5000, 0.9620), Ir at (0.2500, 0.5000, 0.1796) and Ir at (0.2500, 0.5000, 0.5248).

For the mass density, the calculation gives 14.7 Mg/m³. For the distance to the lowest polymorph of the same formula, the calculation gives 0.00 eV/f.u. The volume is 384.73 Å³/cell.

---

Record 8
A plane-wave DFT calculation with PBE was carried out for a relaxed structure of Zr2BIr5.

The structure belongs to space group I4mm (No. 107); the cell edges are 5.6851, 5.6851 and 7.9818 Å and the angles 90.00°, 90.00° and 90.00°. Symmetry generates all atoms from Zr at (0.0000, 0.5000, 0.0000), B at (0.0000, 0.0000, 0.2768), Ir at (0.0000, 0.0000, 0.9935) and Ir at (0.2420, 0.2420, 0.7460).

For the mass density, the calculation gives 14.9 Mg/m³. The volume is 257.98 Å³/cell.

---

Record 9
A plane-wave DFT calculation with PBE was carried out for a relaxed structure of Zr2BIr6.

The structure belongs to space group P4/mmm (No. 123); the cell edges are 4.1158, 4.1158 and 8.0244 Å and the angles 90.00°, 90.00° and 90.00°. Symmetry generates all atoms from Zr at (0.0000, 0.0000, 0.2377), B at (0.5000, 0.5000, 0.5000), Ir at (0.0000, 0.5000, 0.0000), Ir at (0.0000, 0.5000, 0.5000) and Ir at (0.5000, 0.5000, 0.2382).

For the mass density, the calculation gives 16.4 Mg/m³. For the distance to the lowest polymorph of the same formula, the calculation gives 0.82 eV/f.u. The volume is 135.93 Å³/cell.

---

Record 10
A plane-wave DFT calculation with PBE was carried out for a relaxed structure of ZrB3Ir6.

The structure belongs to space group P1 (No. 1); the cell edges are 5.3144, 5.3843 and 5.9723 Å and the angles 110.76°, 95.21° and 119.13°. Symmetry generates all atoms from Zr at (0.0000, 0.0000, 0.0000), B at (0.0694, 0.3746, 0.4723), B at (0.3944, 0.6419, 0.0329), B at (0.6237, 0.3969, 0.0367), Ir at (0.1349, 0.6572, 0.2856), Ir at (0.3249, 0.2584, 0.6685), Ir at (0.4213, 0.8473, 0.7760), Ir at (0.5966, 0.1941, 0.2938), Ir at (0.7113, 0.7833, 0.3804) and Ir at (0.8859, 0.3619, 0.7779).

For the mass density, the calculation gives 16.0 Mg/m³. The volume is 132.12 Å³/cell.

---

| no. | formation energy from the elements (eV per atom) |
| --- | --- |
| 1 | -0.152 |
| 2 | -0.228 |
| 3 | -0.039 |
| 4 | -0.299 |
| 5 | -0.112 |
| 6 | -0.042 |
| 7 | -0.267 |
| 8 | -0.687 |
| 9 | -0.708 |
| 10 | -0.374 |